1.
BSbTe2Ir: optimized geometry, PBE.

Cell and atoms, written as extended XYZ:
```
5
Lattice="4.6874 0.0000 0.0000 0.0000 4.6874 0.0000 0.0000 0.0000 4.6255" Properties=species:S:1:pos:R:3 pbc="T T T"
Sb 0.0000 0.0000 2.3128
B 0.0000 0.0000 0.0000
Ir 2.3437 2.3437 2.3128
Te 0.0000 2.3437 0.0000
Te 2.3437 0.0000 0.0000
```

The value obtained for the total energy is -20.8 eV/f.u. The energy above the most stable polymorph in this dataset is 0.0 meV/atom. The density of states at the Fermi level is 0.4288 states/eV/atom. The calculation puts the energy relative to the elements, uncorrected at 1.04 eV/atom.

***

2.
Sc2B7Ir12: optimized geometry, PBE.

Cell and atoms, written as extended XYZ:
```
21
Lattice="-0.0675 3.2472 -2.1730 -8.5459 -1.4033 -1.8317 2.2790 4.7897 7.0867" Properties=species:S:1:pos:R:3 pbc="T T T"
Sc -0.0337 1.6236 -1.0865
Sc -5.0051 3.9083 -1.0319
B -1.3968 5.9723 1.9411
B 1.6648 3.7312 5.5239
B -4.3255 3.6433 5.5786
B -1.3273 0.8017 1.2392
B -3.9953 3.3500 1.6164
B -7.0963 2.1987 -0.0080
B -3.8224 1.3053 -1.4446
Ir -6.1311 3.3200 1.6377
Ir -6.0293 1.1848 -1.5561
Ir -2.7536 2.3492 0.0821
Ir -0.3807 5.1000 4.1191
Ir -3.0015 4.4303 3.1997
Ir -0.7070 3.5168 1.7634
Ir 0.7675 2.6374 3.9172
Ir -2.1937 3.7821 5.7198
Ir -2.5617 1.7568 2.7047
Ir -4.8256 2.4983 3.8831
Ir -7.8517 -0.2446 -0.1218
Ir -2.1356 -0.2705 -0.3380
```

The value obtained for the total energy is -174.2 eV/f.u. As for the formation energy: -8.4 eV/f.u. The density of states at the Fermi level is 0.4600 states/eV/atom.

***

3.
ScB2Ir: optimized geometry, PBE.

Cell and atoms, written as extended XYZ:
```
4
Lattice="2.8281 0.8553 2.6606 -0.0938 -1.6696 3.6072 2.6963 -2.7497 0.9887" Properties=species:S:1:pos:R:3 pbc="T T T"
Sc 0.0000 0.0000 0.0000
B 1.3576 -0.8910 1.8141
B 4.0729 -2.6730 5.4424
Ir 2.7153 -1.7820 3.6282
```

The value obtained for the total energy is -29.2 eV/f.u. The energy above the most stable polymorph in this dataset is 159.3 meV/atom. As for the formation energy: -0.6 eV/f.u. The density of states at the Fermi level is 0.2144 states/eV/atom.

***

4.
Sc2BIr: optimized geometry, PBE.

Cell and atoms, written as extended XYZ:
```
4
Lattice="5.8512 -1.5734 5.4559 7.6081 -1.9134 2.2213 7.1156 1.4321 3.7144" Properties=species:S:1:pos:R:3 pbc="T T T"
Sc 18.4583 -1.8433 10.2197
Sc 2.1165 -0.2114 1.1718
B 0.0000 0.0000 0.0000
Ir 10.2874 -1.0273 5.6958
```

The value obtained for the total energy is -25.9 eV/f.u. As for the formation energy: 2.3 eV/f.u. The density of states at the Fermi level is 0.2391 states/eV/atom.

***

Q: Number 2 is which compound?
A: Sc2B7Ir12